Material: KLaMgWO6
Method: DFT, GGA+U
State: relaxed

Lattice parameters (Å, degrees): 5.657 5.657 5.657 60.00 60.00 60.00
Atoms (fractional coordinates):
1 K 0.750 0.750 0.750
2 La 0.250 0.250 0.250
3 Mg 0.000 0.000 0.000
4 W 0.500 0.500 0.500
5 O 0.257 0.743 0.257
6 O 0.743 0.257 0.743
7 O 0.257 0.743 0.743
8 O 0.743 0.257 0.257
9 O 0.257 0.257 0.743
10 O 0.743 0.743 0.257

Mass density ... 6254 kg/m³
Final energy ... -6.999 eV/atom
Crystal system ... cubic
Fermi-level density of states ... 0.0000 states/eV/atom